Compound: CaMn2Te
Source: Alexandria
Functional: PBE
Structure: optimized geometry

Unit cell a=6.336 b=6.336 c=4.158 alpha=109.14 beta=109.14 gamma=123.85
Fractional coordinates of all 4 atoms:
Ca 0.000 0.000 0.000
Mn 0.000 0.500 0.500
Mn 0.500 0.000 0.500
Te 0.500 0.500 0.000

DFT total energy ... -5.601 eV/atom
Magnetization ... 8.34 μB/cell
Raw formation energy ... 0.27 eV/atom
Space group ... C2/m (12)

=====

Compound: Li3U3PtS8
Source: Alexandria
Functional: PBE
Structure: optimized geometry

Unit cell a=7.455 b=7.455 c=7.682 alpha=119.16 beta=119.16 gamma=60.23
Fractional coordinates of all 15 atoms:
Li 0.000 0.000 0.000
Li 0.000 0.500 0.000
Li 0.500 0.000 0.000
U 0.000 0.500 0.500
U 0.500 0.000 0.500
U 0.500 0.500 0.500
Pt 0.000 0.000 0.500
S 0.235 0.235 0.740
S 0.244 0.754 0.252
S 0.245 0.245 0.237
S 0.246 0.756 0.748
S 0.754 0.244 0.252
S 0.755 0.755 0.763
S 0.756 0.246 0.748
S 0.765 0.765 0.260

DFT total energy ... -6.412 eV/atom
Magnetization ... 7.03 μB/cell
Raw formation energy ... -1.17 eV/atom
Space group ... C2/m (12)